Compound: BaLiNbSe4
Source: Alexandria via LeMat-Bulk
Functional: PBE-GGA
Structure: optimized geometry

Calculated values
- Total DFT energy (no corrections): -5.150 eV/atom
- Uncorrected formation energy: -8.2 eV per formula unit
- Total magnetic moment: 0.0 Bohr magnetons per cell

Cell lengths 6.550, 7.619, 8.891 Å; angles 90.00, 105.34, 90.00 degrees
Space group P2_1/m (No. 11)
Asymmetric unit:
Ba1 0.235 0.250 0.084 (multiplicity 2)
Li1 0.284 0.250 0.636 (multiplicity 2)
Nb1 0.204 0.750 0.306 (multiplicity 2)
Se1 0.038 0.004 0.736 (multiplicity 4)
Se2 0.388 0.750 0.101 (multiplicity 2)
Se3 0.456 0.750 0.555 (multiplicity 2)